(1)
Density functional theory data (PBE) for a geometry-optimized Ce6InO12 structure.

a = 6.7152 Å, b = 6.7152 Å, c = 6.7152 Å
α = 99.39°, β = 99.39°, γ = 99.39°
Fractional coordinates of all 19 atoms:
Ce 0.1000 0.7939 0.6353
Ce 0.2061 0.3647 0.9000
Ce 0.3647 0.9000 0.2061
Ce 0.6353 0.1000 0.7939
Ce 0.7939 0.6353 0.1000
Ce 0.9000 0.2061 0.3647
In 0.5000 0.5000 0.5000
O 0.0668 0.9147 0.3230
O 0.0853 0.6770 0.9332
O 0.1838 0.4306 0.5636
O 0.3230 0.0668 0.9147
O 0.4306 0.5636 0.1838
O 0.4364 0.8162 0.5694
O 0.5636 0.1838 0.4306
O 0.5694 0.4364 0.8162
O 0.6770 0.9332 0.0853
O 0.8162 0.5694 0.4364
O 0.9147 0.3230 0.0668
O 0.9332 0.0853 0.6770

Values from the calculation:
uncorrected formation energy: -3.212 eV/atom
raw total energy: -8.36 eV per atom
density of states at the Fermi level: 23.6 states/eV/cell

---

(2)
Density functional theory data (PBE) for a geometry-optimized Ce6In3O structure.

a = 8.0912 Å, b = 8.0912 Å, c = 8.0912 Å
α = 78.98°, β = 78.98°, γ = 78.98°
Fractional coordinates of all 20 atoms:
Ce 0.1371 0.7945 0.7945
Ce 0.1893 0.5365 0.5365
Ce 0.2055 0.2055 0.8629
Ce 0.2055 0.8629 0.2055
Ce 0.4635 0.4635 0.8107
Ce 0.4635 0.8107 0.4635
Ce 0.5365 0.1893 0.5365
Ce 0.5365 0.5365 0.1893
Ce 0.7945 0.1371 0.7945
Ce 0.7945 0.7945 0.1371
Ce 0.8107 0.4635 0.4635
Ce 0.8629 0.2055 0.2055
In 0.1496 0.1496 0.4717
In 0.1496 0.4717 0.1496
In 0.4717 0.1496 0.1496
In 0.5283 0.8504 0.8504
In 0.8504 0.5283 0.8504
In 0.8504 0.8504 0.5283
O 0.0000 0.0000 0.0000
O 0.5000 0.5000 0.5000

Values from the calculation:
uncorrected formation energy: -0.676 eV/atom
raw total energy: -5.55 eV per atom
density of states at the Fermi level: 50.7 states/eV/cell